# 1
VASP calculation (PBE) on a relaxed Pm4TlGaHg2 crystal.

Lattice parameters (Å, degrees): 5.382 5.382 9.305 73.19 73.19 60.00
Element x y z (fractional)
Hg 0.747 0.747 0.760
Hg 0.253 0.253 0.240
Ga 0.500 0.500 0.500
Pm 0.870 0.870 0.389
Pm 0.380 0.380 0.860
Pm 0.130 0.130 0.611
Tl 0.000 0.000 0.000
Pm 0.620 0.620 0.140

Output
Its total energy is -3.595 eV/atom.

***

# 2
VASP calculation (PBE) on a relaxed IrC4 crystal.

Lattice parameters (Å, degrees): 4.247 4.247 17.963 90.00 90.00 120.00
Element x y z (fractional)
C 0.333 0.000 0.500
C 0.000 0.667 0.500
C 0.667 0.000 0.500
Ir 0.000 0.000 0.250
C 0.667 0.000 0.000
Ir 0.000 0.000 0.750
C 0.667 0.333 0.213
C 0.333 0.333 0.500
C 0.333 0.000 0.000
C 0.333 0.333 0.000
C 0.000 0.667 0.000
Ir 0.333 0.667 0.250
C 0.333 0.667 0.713
Ir 0.667 0.333 0.750
C 0.000 0.333 0.500
C 0.000 0.333 0.000
C 0.667 0.667 0.500
C 0.667 0.667 0.000
C 0.333 0.667 0.787
C 0.667 0.333 0.287

Output
Its total energy is -8.271 eV/atom. The value obtained for the energy relative to the lowest polymorph listed for this composition is 0.300 eV per atom.

***

# 3
VASP calculation (PBE) on a relaxed SrSiIO2 crystal.

Lattice parameters (Å, degrees): 4.202 4.202 5.267 90.00 90.00 90.00
Element x y z (fractional)
O 0.500 0.000 0.000
I 0.000 0.000 0.500
Si 0.000 0.000 0.000
O 0.000 0.500 0.000
Sr 0.500 0.500 0.500

Output
Its total energy is -4.660 eV/atom. As for the formation energy (no corrections): -946 meV/atom. The value obtained for the energy relative to the lowest polymorph listed for this composition is 0.000 eV per atom.

***

# 4
VASP calculation (PBE) on a relaxed ZrRhSe2Br crystal.

Lattice parameters (Å, degrees): 4.887 4.887 4.827 90.00 90.00 90.00
Element x y z (fractional)
Br 0.000 0.000 0.500
Se 0.500 0.000 0.000
Rh 0.000 0.000 0.000
Se 0.000 0.500 0.000
Zr 0.500 0.500 0.500

Output
Its total energy is -4.788 eV/atom. As for the formation energy (no corrections): 121 meV/atom. The value obtained for the energy relative to the lowest polymorph listed for this composition is 0.037 eV per atom.